First-principles (GGA-PBE) data for a relaxed RbSr4Ca crystal, as listed in the Alexandria database.

Output
- Calculated total energy: -0.0528 hartree per atom
- Energy relative to the elements: 1.1 eV per formula unit
- D(E_F): 26.543 states/eV per cell

Cell lengths 11.2814, 11.2814, 11.2814 Å; angles 90.00, 90.00, 90.00 degrees
Closest atoms and distances in Å follow each position.
Space group F-43m (No. 216)
Inequivalent atoms, fractional coordinates:
Rb 0.0000 0.0000 0.0000  12 Sr 4.68, 4 Ca 4.88
Sr 0.1243 0.1243 0.3757  6 Sr 3.97-4.01
Ca 0.2500 0.2500 0.7500  12 Sr 4.67, 4 Rb 4.88

First-principles (GGA-PBE) data for a relaxed RbSr2Ca2 crystal, as listed in the Alexandria database.

Output
- Calculated total energy: -0.0516 hartree per atom
- Energy above the lowest structure with this stoichiometry: 0.123 eV/atom
- Energy relative to the elements: 1.3 eV per formula unit
- D(E_F): 12.963 states/eV per cell

Cell lengths 4.9190, 4.9190, 24.8638 Å; angles 90.00, 90.00, 90.00 degrees
Closest atoms and distances in Å follow each position.
Space group I4/mmm (No. 139)
Inequivalent atoms, fractional coordinates:
Rb 0.0000 0.0000 0.0000  8 Sr 4.60, 4 Rb 4.92
Sr 0.0000 0.0000 0.3791  4 Ca 4.04
Ca 0.0000 0.5000 0.2500  4 Ca 3.48